<A>
The following is a DFT calculation (GGA-PBE) of BaCoCl2 after structural relaxation.

Lattice parameters (Å, degrees): 5.303 5.303 5.303 60.00 60.00 60.00
Sites, in units of the cell vectors:
Ba 0.000 0.000 0.000
Co 0.500 0.500 0.500
Cl 0.250 0.250 0.250
Cl 0.750 0.750 0.750



<B>
The following is a DFT calculation (GGA-PBE) of BaCoCl2 after structural relaxation.

Lattice parameters (Å, degrees): 6.643 6.643 6.643 46.96 46.96 46.96
Sites, in units of the cell vectors:
Ba 0.000 0.000 0.000
Co 0.500 0.500 0.500
Cl 0.380 0.380 0.380
Cl 0.620 0.620 0.620



<C>
The following is a DFT calculation (GGA-PBE) of BaCoCl2 after structural relaxation.

Lattice parameters (Å, degrees): 7.920 7.920 7.920 138.40 138.40 60.29
Sites, in units of the cell vectors:
Ba 0.000 0.000 0.000
Ba 0.750 0.250 0.500
Co 0.250 0.750 0.500
Co 0.500 0.500 0.000
Cl 0.240 0.625 0.115
Cl 0.375 0.490 0.615
Cl 0.510 0.125 0.885
Cl 0.875 0.760 0.385



<D>
The following is a DFT calculation (GGA-PBE) of BaCoCl2 after structural relaxation.

Lattice parameters (Å, degrees): 4.577 4.194 5.978 90.00 112.43 90.00
Sites, in units of the cell vectors:
Ba 0.000 0.000 0.000
Co 0.639 0.500 0.278
Cl 0.425 0.500 0.850
Cl 0.700 0.000 0.402



The winner here is <D>, beating the second structure by 102 meV per atom.



<A>
The following is a DFT calculation (GGA-PBE) of Ba2CoCl after structural relaxation.

Lattice parameters (Å, degrees): 7.304 7.304 7.304 115.30 115.30 98.36
Sites, in units of the cell vectors:
Ba 0.089 0.625 0.964
Ba 0.375 0.339 0.464
Ba 0.661 0.125 0.036
Ba 0.875 0.911 0.536
Co 0.000 0.000 0.000
Co 0.750 0.250 0.500
Cl 0.250 0.750 0.500
Cl 0.500 0.500 0.000



<B>
The following is a DFT calculation (GGA-PBE) of Ba2CoCl after structural relaxation.

Lattice parameters (Å, degrees): 8.731 8.731 8.731 153.48 153.25 38.02
Sites, in units of the cell vectors:
Ba 0.000 0.000 0.000
Ba 0.727 0.227 0.500
Co 0.590 0.590 0.000
Cl 0.331 0.831 0.500



The winner here is <B>, beating the second structure by 85 meV per atom.